{"formula": "Sn2W3Cl14", "functional": "meta-GGA SCAN", "state": "single point on PBEsol structure", "lattice_angstrom": [[9.5065, 0.0000, 0.0000], [-4.7533, 8.2329, 0.0000], [0.0000, 0.0000, 12.0960]], "species": ["Sn", "Sn", "Sn", "Sn", "W", "W", "W", "W", "W", "W", "Cl", "Cl", "Cl", "Cl", "Cl", "Cl", "Cl", "Cl", "Cl", "Cl", "Cl", "Cl", "Cl", "Cl", "Cl", "Cl", "Cl", "Cl", "Cl", "Cl", "Cl", "Cl", "Cl", "Cl", "Cl", "Cl", "Cl", "Cl"], "frac_coords": [[0.0000, 0.0000, 0.0000], [0.0000, 0.0000, 0.5000], [0.3333, 0.6667, 0.4643], [0.6667, 0.3333, 0.9643], [0.1451, 0.5514, 0.9240], [0.4063, 0.8549, 0.9240], [0.4486, 0.5937, 0.9240], [0.5514, 0.4063, 0.4240], [0.5937, 0.1451, 0.4240], [0.8549, 0.4486, 0.4240], [0.0000, 0.0000, 0.1990], [0.0000, 0.0000, 0.6990], [0.0208, 0.3721, 0.5245], [0.0283, 0.3171, 0.0388], [0.1023, 0.6094, 0.3135], [0.1953, 0.7533, 0.7881], [0.2467, 0.4421, 0.7881], [0.2889, 0.9717, 0.0388], [0.3171, 0.2889, 0.5388], [0.3333, 0.6667, 0.0730], [0.3512, 0.9792, 0.5245], [0.3721, 0.3512, 0.0245], [0.3906, 0.4928, 0.3135], [0.4421, 0.1953, 0.2881], [0.4928, 0.1023, 0.8135], [0.5072, 0.8977, 0.3135], [0.5579, 0.8047, 0.7881], [0.6094, 0.5072, 0.8135], [0.6279, 0.6488, 0.5245], [0.6488, 0.0208, 0.0245], [0.6667, 0.3333, 0.5730], [0.6829, 0.7111, 0.0388], [0.7111, 0.0283, 0.5388], [0.7533, 0.5579, 0.2881], [0.8047, 0.2467, 0.2881], [0.8977, 0.3906, 0.8135], [0.9717, 0.6829, 0.5388], [0.9792, 0.6279, 0.0245]], "formation_energy_uncorrected_ev_per_atom": -0.939, "final_energy_ev_per_cell": -820.87}

{"formula": "Y2ZrSnCl", "functional": "meta-GGA SCAN", "state": "single point on PBEsol structure", "lattice_angstrom": [[5.7126, 0.0000, 0.0000], [0.0000, 5.7126, 0.0000], [0.0000, 0.0000, 5.3662]], "species": ["Y", "Y", "Zr", "Sn", "Cl"], "frac_coords": [[0.0000, 0.5000, 0.0000], [0.5000, 0.0000, 0.0000], [0.0000, 0.0000, 0.5000], [0.0000, 0.0000, 0.0000], [0.5000, 0.5000, 0.5000]], "n_ef_per_ev_cell": 5.0, "formation_energy_uncorrected_ev_per_atom": 0.231, "final_energy_ev_per_cell": -129.13}

{"formula": "Zn3SnCl", "functional": "meta-GGA SCAN", "state": "single point on PBEsol structure", "lattice_angstrom": [[5.1158, 0.0000, 0.0000], [0.0000, 5.1158, 0.0000], [0.0000, 0.0000, 5.1158]], "species": ["Zn", "Zn", "Zn", "Sn", "Cl"], "frac_coords": [[0.0000, 0.0000, 0.5000], [0.0000, 0.5000, 0.0000], [0.5000, 0.0000, 0.0000], [0.0000, 0.0000, 0.0000], [0.5000, 0.5000, 0.5000]], "n_ef_per_ev_cell": 1.3, "formation_energy_uncorrected_ev_per_atom": 0.102, "final_energy_ev_per_cell": -83.94}

{"formula": "ZrZnSn2Cl", "functional": "meta-GGA SCAN", "state": "single point on PBEsol structure", "lattice_angstrom": [[4.9336, 0.0000, 0.0000], [0.0000, 4.9336, 0.0000], [0.0000, 0.0000, 5.2574]], "species": ["Zr", "Zn", "Sn", "Sn", "Cl"], "frac_coords": [[0.0000, 0.0000, 0.0000], [0.0000, 0.0000, 0.5000], [0.0000, 0.5000, 0.5000], [0.5000, 0.0000, 0.5000], [0.5000, 0.5000, 0.0000]], "n_ef_per_ev_cell": 3.5, "formation_energy_uncorrected_ev_per_atom": 0.345, "final_energy_ev_per_cell": -122.31}

{"formula": "ZrSn2Cl", "functional": "meta-GGA SCAN", "state": "single point on PBEsol structure", "lattice_angstrom": [[0.0000, 3.5978, 3.5978], [3.5978, 0.0000, 3.5978], [3.5978, 3.5978, 0.0000]], "species": ["Zr", "Sn", "Sn", "Cl"], "frac_coords": [[0.0000, 0.0000, 0.0000], [0.2500, 0.2500, 0.2500], [0.7500, 0.7500, 0.7500], [0.5000, 0.5000, 0.5000]], "n_ef_per_ev_cell": 3.7, "formation_energy_uncorrected_ev_per_atom": 0.132, "final_energy_ev_per_cell": -109.99}

{"formula": "ZrSnCl3", "functional": "meta-GGA SCAN", "state": "single point on PBEsol structure", "lattice_angstrom": [[4.9792, 0.0000, 0.0000], [0.0000, 4.9792, 0.0000], [0.0000, 0.0000, 4.9792]], "species": ["Zr", "Sn", "Cl", "Cl", "Cl"], "frac_coords": [[0.0000, 0.0000, 0.0000], [0.5000, 0.5000, 0.5000], [0.0000, 0.0000, 0.5000], [0.0000, 0.5000, 0.0000], [0.5000, 0.0000, 0.0000]], "n_ef_per_ev_cell": 4.7, "formation_energy_uncorrected_ev_per_atom": -0.821, "final_energy_ev_per_cell": -94.66}

{"formula": "ZrSnCl6", "functional": "meta-GGA SCAN", "state": "single point on PBEsol structure", "lattice_angstrom": [[11.4532, 0.0000, 0.0000], [0.0000, 6.3607, 0.0000], [-0.4612, 0.0000, 18.2106]], "species": ["Zr", "Zr", "Zr", "Zr", "Zr", "Zr", "Sn", "Sn", "Sn", "Sn", "Sn", "Sn", "Cl", "Cl", "Cl", "Cl", "Cl", "Cl", "Cl", "Cl", "Cl", "Cl", "Cl", "Cl", "Cl", "Cl", "Cl", "Cl", "Cl", "Cl", "Cl", "Cl", "Cl", "Cl", "Cl", "Cl", "Cl", "Cl", "Cl", "Cl", "Cl", "Cl", "Cl", "Cl", "Cl", "Cl", "Cl", "Cl"], "frac_coords": [[0.0000, 0.0126, 0.0000], [0.0000, 0.9874, 0.5000], [0.1723, 0.4766, 0.3379], [0.1723, 0.5234, 0.8379], [0.6773, 0.0241, 0.3323], [0.6773, 0.9759, 0.8323], [0.3542, 0.0035, 0.1652], [0.3542, 0.9965, 0.6652], [0.5081, 0.4916, 0.5025], [0.5081, 0.5084, 0.0025], [0.8315, 0.4860, 0.6704], [0.8315, 0.5140, 0.1704], [0.0073, 0.3032, 0.4146], [0.0073, 0.6968, 0.9146], [0.0221, 0.3348, 0.7691], [0.0221, 0.6652, 0.2691], [0.1444, 0.1508, 0.5782], [0.1444, 0.8492, 0.0782], [0.1543, 0.1948, 0.9258], [0.1543, 0.8052, 0.4258], [0.1616, 0.1813, 0.2578], [0.1616, 0.8187, 0.7578], [0.3008, 0.3120, 0.4285], [0.3008, 0.6880, 0.9285], [0.3321, 0.3579, 0.7812], [0.3321, 0.6421, 0.2812], [0.3469, 0.3511, 0.0928], [0.3469, 0.6489, 0.5928], [0.5184, 0.1489, 0.5837], [0.5184, 0.8511, 0.0837], [0.5267, 0.1893, 0.2541], [0.5267, 0.8107, 0.7541], [0.5336, 0.1130, 0.9127], [0.5336, 0.8870, 0.4127], [0.6650, 0.3041, 0.7585], [0.6650, 0.6959, 0.2585], [0.6726, 0.3378, 0.0873], [0.6726, 0.6622, 0.5873], [0.7004, 0.3358, 0.4054], [0.7004, 0.6642, 0.9054], [0.8335, 0.1455, 0.2482], [0.8335, 0.8545, 0.7482], [0.8401, 0.1373, 0.5642], [0.8401, 0.8627, 0.0642], [0.8442, 0.1533, 0.9081], [0.8442, 0.8467, 0.4081], [0.9966, 0.3329, 0.0705], [0.9966, 0.6671, 0.5705]], "n_ef_per_ev_cell": 0.0, "formation_energy_uncorrected_ev_per_atom": -1.621, "final_energy_ev_per_cell": -764.74}

{"formula": "SrCl2", "functional": "meta-GGA SCAN", "state": "single point on PBEsol structure", "lattice_angstrom": [[0.0000, 3.4571, 3.4571], [3.4571, 0.0000, 3.4571], [3.4571, 3.4571, 0.0000]], "species": ["Sr", "Cl", "Cl"], "frac_coords": [[0.0000, 0.0000, 0.0000], [0.2500, 0.2500, 0.2500], [0.7500, 0.7500, 0.7500]], "n_ef_per_ev_cell": 0.0, "formation_energy_uncorrected_ev_per_atom": -2.774, "final_energy_ev_per_cell": -46.55}

{"formula": "Sr3Cl5", "functional": "meta-GGA SCAN", "state": "single point on PBEsol structure", "lattice_angstrom": [[4.0924, -5.9422, 0.0000], [4.0924, 5.9422, 0.0000], [0.0000, 0.0000, 4.4488]], "species": ["Sr", "Sr", "Sr", "Cl", "Cl", "Cl", "Cl", "Cl"], "frac_coords": [[0.0000, 0.0000, 0.0000], [0.3364, 0.6636, 0.5000], [0.6636, 0.3364, 0.5000], [0.0000, 0.5000, 0.0000], [0.2164, 0.2164, 0.5000], [0.5000, 0.0000, 0.0000], [0.5000, 0.5000, 0.0000], [0.7836, 0.7836, 0.5000]], "n_ef_per_ev_cell": 2.9, "formation_energy_uncorrected_ev_per_atom": -2.383, "final_energy_ev_per_cell": -125.78}

{"formula": "SrCl2", "functional": "meta-GGA SCAN", "state": "single point on PBEsol structure", "lattice_angstrom": [[2.0350, -5.8116, 0.0000], [2.0350, 5.8116, 0.0000], [0.0000, 0.0000, 6.6434]], "species": ["Sr", "Sr", "Cl", "Cl", "Cl", "Cl"], "frac_coords": [[0.1180, 0.8820, 0.5000], [0.8820, 0.1180, 0.0000], [0.2116, 0.7884, 0.9315], [0.4899, 0.5101, 0.7293], [0.5101, 0.4899, 0.2293], [0.7884, 0.2116, 0.4315]], "n_ef_per_ev_cell": 0.0, "formation_energy_uncorrected_ev_per_atom": -2.701, "final_energy_ev_per_cell": -92.67}

{"formula": "SrCl2", "functional": "meta-GGA SCAN", "state": "single point on PBEsol structure", "lattice_angstrom": [[2.2015, -9.2680, 0.0000], [2.2015, 9.2680, 0.0000], [0.0000, 0.0000, 5.5300]], "species": ["Sr", "Sr", "Cl", "Cl", "Cl", "Cl"], "frac_coords": [[0.1672, 0.8328, 0.7500], [0.8328, 0.1672, 0.2500], [0.2199, 0.7801, 0.2500], [0.4211, 0.5789, 0.2500], [0.5789, 0.4211, 0.7500], [0.7801, 0.2199, 0.7500]], "n_ef_per_ev_cell": 0.0, "formation_energy_uncorrected_ev_per_atom": -2.621, "final_energy_ev_per_cell": -92.19}

{"formula": "Sr4TaCl", "functional": "meta-GGA SCAN", "state": "single point on PBEsol structure", "lattice_angstrom": [[0.0000, 4.9048, 4.9048], [4.9048, 0.0000, 4.9048], [4.9048, 4.9048, 0.0000]], "species": ["Sr", "Sr", "Sr", "Sr", "Ta", "Cl"], "frac_coords": [[0.3761, 0.3761, 0.3761], [0.3761, 0.3761, 0.8717], [0.3761, 0.8717, 0.3761], [0.8717, 0.3761, 0.3761], [0.7500, 0.7500, 0.7500], [0.0000, 0.0000, 0.0000]], "n_ef_per_ev_cell": 5.5, "formation_energy_uncorrected_ev_per_atom": 0.911, "final_energy_ev_per_cell": -158.20}

{"formula": "SrTaCl2", "functional": "meta-GGA SCAN", "state": "single point on PBEsol structure", "lattice_angstrom": [[3.3144, -4.4367, 0.0000], [3.3144, 4.4367, 0.0000], [-1.3552, 0.0000, 2.9135]], "species": ["Sr", "Ta", "Cl", "Cl"], "frac_coords": [[0.0000, 0.0000, 0.0000], [0.5000, 0.5000, 0.0000], [0.0000, 0.5000, 0.0000], [0.5000, 0.0000, 0.0000]], "n_ef_per_ev_cell": 2.3, "formation_energy_uncorrected_ev_per_atom": -0.315, "final_energy_ev_per_cell": -106.07}

{"formula": "SrTa2Cl", "functional": "meta-GGA SCAN", "state": "single point on PBEsol structure", "lattice_angstrom": [[1.5184, 0.8766, 10.0129], [-1.5184, 0.8766, 10.0129], [0.0000, -1.7532, 10.0129]], "species": ["Sr", "Ta", "Ta", "Cl"], "frac_coords": [[0.0000, 0.0000, 0.0000], [0.2364, 0.2364, 0.2364], [0.7636, 0.7636, 0.7636], [0.5000, 0.5000, 0.5000]], "n_ef_per_ev_cell": 2.8, "formation_energy_uncorrected_ev_per_atom": 0.734, "polymorph_energy_kj_per_mol_fu": 217.1, "final_energy_ev_per_cell": -160.48}

{"formula": "SrTa2Cl", "functional": "meta-GGA SCAN", "state": "single point on PBEsol structure", "lattice_angstrom": [[2.9736, 0.0000, 0.0000], [0.0000, 2.9736, 0.0000], [0.0000, 0.0000, 8.9887]], "species": ["Sr", "Ta", "Ta", "Cl"], "frac_coords": [[0.0000, 0.0000, 0.0000], [0.5000, 0.5000, 0.3125], [0.5000, 0.5000, 0.6875], [0.0000, 0.0000, 0.5000]], "n_ef_per_ev_cell": 3.5, "formation_energy_uncorrected_ev_per_atom": 0.857, "polymorph_energy_kj_per_mol_fu": 264.5, "final_energy_ev_per_cell": -159.99}

{"formula": "SrTa2Cl", "functional": "meta-GGA SCAN", "state": "single point on PBEsol structure", "lattice_angstrom": [[-1.9057, 1.9057, 7.0779], [1.9057, -1.9057, 7.0779], [1.9057, 1.9057, -7.0779]], "species": ["Sr", "Ta", "Ta", "Cl"], "frac_coords": [[0.0000, 0.0000, 0.0000], [0.2500, 0.7500, 0.5000], [0.7500, 0.2500, 0.5000], [0.5000, 0.5000, 0.0000]], "n_ef_per_ev_cell": 5.0, "formation_energy_uncorrected_ev_per_atom": 0.311, "polymorph_energy_kj_per_mol_fu": 53.6, "final_energy_ev_per_cell": -162.18}

{"formula": "SrTa2Cl", "functional": "meta-GGA SCAN", "state": "single point on PBEsol structure", "lattice_angstrom": [[1.6277, -2.4775, 0.0000], [1.6277, 2.4775, 0.0000], [0.0000, 0.0000, 10.0331]], "species": ["Sr", "Ta", "Ta", "Cl"], "frac_coords": [[0.0000, 0.0000, 0.0000], [0.5000, 0.5000, 0.2888], [0.5000, 0.5000, 0.7112], [0.0000, 0.0000, 0.5000]], "n_ef_per_ev_cell": 2.9, "formation_energy_uncorrected_ev_per_atom": 0.809, "polymorph_energy_kj_per_mol_fu": 246.0, "final_energy_ev_per_cell": -160.18}

{"formula": "SrTa2Cl", "functional": "meta-GGA SCAN", "state": "single point on PBEsol structure", "lattice_angstrom": [[2.7199, -6.7697, 0.0000], [2.7199, 6.7697, 0.0000], [-1.8765, 0.0000, 2.6063]], "species": ["Sr", "Ta", "Ta", "Cl"], "frac_coords": [[0.0000, 0.0000, 0.0000], [0.0000, 0.5000, 0.5000], [0.5000, 0.0000, 0.5000], [0.5000, 0.5000, 0.0000]], "n_ef_per_ev_cell": 3.6, "formation_energy_uncorrected_ev_per_atom": 0.172, "polymorph_energy_kj_per_mol_fu": 0.0, "final_energy_ev_per_cell": -162.73}

{"formula": "SrTaTcCl2", "functional": "meta-GGA SCAN", "state": "single point on PBEsol structure", "lattice_angstrom": [[5.0919, 0.0000, 0.0000], [0.0000, 5.0919, 0.0000], [0.0000, 0.0000, 6.9291]], "species": ["Sr", "Ta", "Tc", "Cl", "Cl"], "frac_coords": [[0.0000, 0.0000, 0.0000], [0.0000, 0.0000, 0.5000], [0.5000, 0.5000, 0.5000], [0.0000, 0.5000, 0.0000], [0.5000, 0.0000, 0.0000]], "n_ef_per_ev_cell": 7.1, "formation_energy_uncorrected_ev_per_atom": 0.989, "final_energy_ev_per_cell": -134.93}

{"formula": "SrTcCl3", "functional": "meta-GGA SCAN", "state": "single point on PBEsol structure", "lattice_angstrom": [[5.5219, 0.0000, 0.0000], [0.0000, 5.5219, 0.0000], [0.0000, 0.0000, 5.5219]], "species": ["Sr", "Tc", "Cl", "Cl", "Cl"], "frac_coords": [[0.0000, 0.0000, 0.0000], [0.5000, 0.5000, 0.5000], [0.0000, 0.0000, 0.5000], [0.0000, 0.5000, 0.0000], [0.5000, 0.0000, 0.0000]], "formation_energy_uncorrected_ev_per_atom": -0.847, "final_energy_ev_per_cell": -85.50}

{"formula": "Sr2TcCl", "functional": "meta-GGA SCAN", "state": "single point on PBEsol structure", "lattice_angstrom": [[0.0000, 3.7494, 3.7494], [3.7494, 0.0000, 3.7494], [3.7494, 3.7494, 0.0000]], "species": ["Sr", "Sr", "Tc", "Cl"], "frac_coords": [[0.2500, 0.2500, 0.2500], [0.7500, 0.7500, 0.7500], [0.0000, 0.0000, 0.0000], [0.5000, 0.5000, 0.5000]], "n_ef_per_ev_cell": 4.5, "formation_energy_uncorrected_ev_per_atom": -0.003, "polymorph_energy_kj_per_mol_fu": 141.4, "final_energy_ev_per_cell": -87.60}

{"formula": "SrTc2Cl", "functional": "meta-GGA SCAN", "state": "single point on PBEsol structure", "lattice_angstrom": [[-1.6397, 2.0080, 6.2611], [1.6397, -2.0080, 6.2611], [1.6397, 2.0080, -6.2611]], "species": ["Sr", "Tc", "Tc", "Cl"], "frac_coords": [[0.0000, 0.0000, 0.0000], [0.2573, 0.7573, 0.5000], [0.7427, 0.2427, 0.5000], [0.5000, 0.5000, 0.0000]], "n_ef_per_ev_cell": 3.5, "formation_energy_uncorrected_ev_per_atom": 0.253, "polymorph_energy_kj_per_mol_fu": 0.0, "final_energy_ev_per_cell": -99.36}

{"formula": "Sr2TcCl", "functional": "meta-GGA SCAN", "state": "single point on PBEsol structure", "lattice_angstrom": [[2.4523, -2.4568, 0.0000], [2.4523, 2.4568, 0.0000], [0.0000, 0.0000, 8.2908]], "species": ["Sr", "Sr", "Tc", "Cl"], "frac_coords": [[0.0000, 0.0000, 0.2397], [0.0000, 0.0000, 0.7603], [0.5000, 0.5000, 0.0000], [0.5000, 0.5000, 0.5000]], "n_ef_per_ev_cell": 1.6, "formation_energy_uncorrected_ev_per_atom": -0.370, "polymorph_energy_kj_per_mol_fu": 0.0, "final_energy_ev_per_cell": -89.07}

{"formula": "SrTc2Cl", "functional": "meta-GGA SCAN", "state": "single point on PBEsol structure", "lattice_angstrom": [[2.5861, -6.3562, 0.0000], [2.5861, 6.3562, 0.0000], [-2.1983, 0.0000, 2.5709]], "species": ["Sr", "Tc", "Tc", "Cl"], "frac_coords": [[0.0000, 0.0000, 0.0000], [0.0000, 0.5000, 0.5000], [0.5000, 0.0000, 0.5000], [0.5000, 0.5000, 0.0000]], "n_ef_per_ev_cell": 3.5, "formation_energy_uncorrected_ev_per_atom": 0.264, "polymorph_energy_kj_per_mol_fu": 4.2, "final_energy_ev_per_cell": -99.32}

{"formula": "SrTc2Cl", "functional": "meta-GGA SCAN", "state": "single point on PBEsol structure", "lattice_angstrom": [[3.6470, 0.0000, 0.0000], [0.0000, 3.6470, 0.0000], [0.0000, 0.0000, 6.4270]], "species": ["Sr", "Tc", "Tc", "Cl"], "frac_coords": [[0.0000, 0.0000, 0.0000], [0.0000, 0.5000, 0.5000], [0.5000, 0.0000, 0.5000], [0.5000, 0.5000, 0.0000]], "n_ef_per_ev_cell": 3.9, "formation_energy_uncorrected_ev_per_atom": 0.268, "polymorph_energy_kj_per_mol_fu": 5.6, "final_energy_ev_per_cell": -99.30}